# 1
VASP calculation (PBE-GGA) on Ba2Mg6Au3 after structural relaxation.

Summary:
Space-group type: P-62m, No. 189
E_tot in eV/atom: -2.521
Total magnetization in μB/atom: 0.000

a b c (Å): 4.5985 8.6559 8.6559
angles (deg): 120.00 90.00 90.00
Closest atoms and distances in Å follow each position.
Fractional coordinates of all 11 atoms:
Ba1 0.0000 0.6667 0.3333  6 Au 3.56, 9 Mg 3.60-3.86
Mg1 0.5000 0.0000 0.2891  3 Au 2.89-2.96, 4 Mg 3.20
Au1 0.5000 0.6232 0.0000  5 Mg 2.76-2.96
Mg2 0.0000 0.7986 0.0000  2 Au 2.76, 2 Mg 3.02
Mg3 0.5000 0.7109 0.7109  3 Au 2.89-2.96, 4 Mg 3.20
Mg4 0.5000 0.2891 0.0000  3 Au 2.89-2.96, 4 Mg 3.20
Ba2 0.0000 0.3333 0.6667  6 Au 3.56, 9 Mg 3.60-3.86
Mg5 0.0000 0.0000 0.7986  2 Au 2.76, 2 Mg 3.02
Au2 0.5000 0.0000 0.6232  5 Mg 2.76-2.96
Au3 0.5000 0.3768 0.3768  5 Mg 2.76-2.96
Mg6 0.0000 0.2014 0.2014  2 Au 2.76, 2 Mg 3.02

=====

# 2
VASP calculation (PBE-GGA) on HfFe3H after structural relaxation.

Summary:
E above lowest polymorph in meV per atom: 2208.0
Space-group type: Pm-3m, No. 221
Total magnetization in μB/atom: 1.198

a b c (Å): 4.6366 4.6366 4.6366
angles (deg): 90.00 90.00 90.00
Closest atoms and distances in Å follow each position.
Fractional coordinates of all 5 atoms:
Fe1 0.0000 0.5000 0.0000  2 Hf 2.32
Fe2 0.5000 0.0000 0.0000  2 Hf 2.32
H1 0.5000 0.5000 0.5000  12 Fe 3.28
Hf1 0.0000 0.0000 0.0000  6 Fe 2.32
Fe3 0.0000 0.0000 0.5000  2 Hf 2.32

=====

# 3
VASP calculation (PBE-GGA) on Th4OsI5 after structural relaxation.

Summary:
Space-group type: C2/m, No. 12
Formation energy (no corrections) in kJ/mol of atoms: -87
Total magnetization in μB/atom: 0.024

a b c (Å): 4.0280 9.4367 9.6381
angles (deg): 98.95 102.06 90.00
Closest atoms and distances in Å follow each position.
Fractional coordinates of all 10 atoms:
I1 0.1691 0.3249 0.3382  3 Th 3.20-3.29
I2 0.5000 0.5000 0.0000  4 Th 3.48
Th1 0.6648 0.0486 0.3296  1 Os 3.07, 5 I 3.27-3.31
I3 0.1685 0.7762 0.3371  4 Th 3.24-3.31
Th2 0.0012 0.1994 0.0025  2 Os 2.75
I4 0.8309 0.6751 0.6618  3 Th 3.20-3.29
I5 0.8315 0.2238 0.6629  4 Th 3.24-3.31
Th3 0.3352 0.9514 0.6704  1 Os 3.07, 5 I 3.27-3.31
Th4 0.9988 0.8006 0.9975  2 Os 2.75
Os1 0.5000 0.0000 0.0000  6 Th 2.75-3.07

=====

Q: Which of these has the lowest total magnetization?
A: Ba2Mg6Au3

=====

What did the first record say?
VASP calculation (PBE-GGA) on Ba2Mg6Au3 after structural relaxation.

Summary:
Space-group type: P-62m, No. 189
E_tot in eV/atom: -2.521
Total magnetization in μB/atom: 0.000

a b c (Å): 4.5985 8.6559 8.6559
angles (deg): 120.00 90.00 90.00
Closest atoms and distances in Å follow each position.
Fractional coordinates of all 11 atoms:
Ba1 0.0000 0.6667 0.3333  6 Au 3.56, 9 Mg 3.60-3.86
Mg1 0.5000 0.0000 0.2891  3 Au 2.89-2.96, 4 Mg 3.20
Au1 0.5000 0.6232 0.0000  5 Mg 2.76-2.96
Mg2 0.0000 0.7986 0.0000  2 Au 2.76, 2 Mg 3.02
Mg3 0.5000 0.7109 0.7109  3 Au 2.89-2.96, 4 Mg 3.20
Mg4 0.5000 0.2891 0.0000  3 Au 2.89-2.96, 4 Mg 3.20
Ba2 0.0000 0.3333 0.6667  6 Au 3.56, 9 Mg 3.60-3.86
Mg5 0.0000 0.0000 0.7986  2 Au 2.76, 2 Mg 3.02
Au2 0.5000 0.0000 0.6232  5 Mg 2.76-2.96
Au3 0.5000 0.3768 0.3768  5 Mg 2.76-2.96
Mg6 0.0000 0.2014 0.2014  2 Au 2.76, 2 Mg 3.02